[1]
The following is a DFT calculation (PBE-GGA) of Ta2InHg after structural relaxation.

The structure in extended XYZ format:
```
4
Lattice="2.9111 -4.5299 0.0000 2.9111 4.5299 0.0000 -0.1069 0.0000 2.9370" Properties=species:S:1:pos:R:3 pbc="T T T"
Ta 1.4555 2.2649 0.0000
Ta 1.4555 -2.2649 0.0000
In -0.0534 0.0000 1.4685
Hg 2.8576 0.0000 1.4685
```

Calculated values
V   19.4 Å³/atom
Total moment   0.000 μB per cell
ΔH_f (0 K)   114 kJ/mol of formula units
Crystal system   monoclinic
ρ   14.52 g cm⁻³
Space group   C2/m
Calculated total energy   -6.3900 eV per atom

[2]
The following is a DFT calculation (PBE-GGA) of TaIn2Hg after structural relaxation.

The structure in extended XYZ format:
```
4
Lattice="3.0312 0.0000 0.0000 0.0000 3.0312 0.0000 0.0000 0.0000 9.7318" Properties=species:S:1:pos:R:3 pbc="T T T"
Ta 0.0000 0.0000 0.0000
In 0.0000 0.0000 4.7730
In 1.5156 1.5156 7.5497
Hg 1.5156 1.5156 2.1459
```

Calculated values
V   22.4 Å³/atom
Total moment   0.000 μB per cell
ΔH_f (0 K)   109 kJ/mol of formula units
Crystal system   tetragonal
ρ   11.35 g cm⁻³
Space group   P4mm
Calculated total energy   -4.1258 eV per atom

[3]
The following is a DFT calculation (PBE-GGA) of TaInHg2 after structural relaxation.

The structure in extended XYZ format:
```
4
Lattice="-2.0870 2.0870 4.8468 2.0870 -2.0870 4.8468 2.0870 2.0870 -4.8468" Properties=species:S:1:pos:R:3 pbc="T T T"
Ta 0.0000 0.0000 0.0000
In 0.0000 2.0870 2.4234
Hg 2.0870 0.0000 2.4234
Hg 0.0000 0.0000 4.8468
```

Calculated values
V   21.1 Å³/atom
Total moment   0.000 μB per cell
ΔH_f (0 K)   186 kJ/mol of formula units
Crystal system   tetragonal
ρ   13.71 g cm⁻³
Space group   I-4m2
Calculated total energy   -3.3172 eV per atom

[4]
The following is a DFT calculation (PBE-GGA) of TaIn2Hg after structural relaxation.

The structure in extended XYZ format:
```
4
Lattice="2.9577 0.0000 0.0000 0.0000 5.2300 0.0000 -0.0742 0.0000 5.6103" Properties=species:S:1:pos:R:3 pbc="T T T"
Ta 0.0000 0.0000 0.0000
In 0.9248 2.6150 4.2613
In 1.9588 2.6150 1.3490
Hg 1.4418 0.0000 2.8051
```

Calculated values
V   21.7 Å³/atom
Total moment   0.001 μB per cell
ΔH_f (0 K)   145 kJ/mol of formula units
Crystal system   monoclinic
ρ   11.69 g cm⁻³
Space group   P2/m
Calculated total energy   -4.0325 eV per atom

[5]
The following is a DFT calculation (PBE-GGA) of TaInHg2 after structural relaxation.

The structure in extended XYZ format:
```
4
Lattice="3.0097 0.0000 0.0000 0.0000 3.0097 0.0000 0.0000 0.0000 9.7084" Properties=species:S:1:pos:R:3 pbc="T T T"
Ta 0.0000 0.0000 0.0000
In 1.5049 1.5049 7.5248
Hg 0.0000 0.0000 4.8602
Hg 1.5049 1.5049 2.1501
```

Calculated values
V   22.0 Å³/atom
Total moment   0.000 μB per cell
ΔH_f (0 K)   113 kJ/mol of formula units
Crystal system   tetragonal
ρ   13.16 g cm⁻³
Space group   P4mm
Calculated total energy   -3.5058 eV per atom

[6]
The following is a DFT calculation (PBE-GGA) of Ta2InHg after structural relaxation.

The structure in extended XYZ format:
```
4
Lattice="5.1722 -1.4991 0.0000 5.1722 1.4991 0.0000 -1.0187 0.0000 5.1693" Properties=species:S:1:pos:R:3 pbc="T T T"
Ta 0.0000 0.0000 0.0000
Ta 7.2848 0.0000 1.0130
In 4.4883 0.0000 2.4969
Hg 1.8128 0.0000 3.7044
```

Calculated values
V   20.0 Å³/atom
Total moment   0.000 μB per cell
ΔH_f (0 K)   131 kJ/mol of formula units
Crystal system   monoclinic
ρ   14.03 g cm⁻³
Space group   Cm
Calculated total energy   -6.3457 eV per atom